1.
! Cs2NaZn2F7, optimized geometry, DFT GGA-PBE; values from VASP
! E (eV for the cell shown): -48.88
! Volume (Å³/f.u.): 203
! SG: No. 139
&SYSTEM
  ibrav = 0, nat = 12, ntyp = 4
/
ATOMIC_SPECIES
Cs 132.91 Cs.upf
Na 22.99 Na.upf
Zn 65.41 Zn.upf
F 19.00 F.upf
ATOMIC_POSITIONS angstrom
Cs 0.000 0.000 4.146
Cs 0.000 0.000 18.700
Na 0.000 0.000 0.000
Zn 0.000 0.000 9.434
Zn 0.000 0.000 13.413
F 2.110 0.000 1.905
F 0.000 0.000 7.392
F 2.110 0.000 9.518
F 0.000 0.000 11.423
F 0.000 2.110 1.905
F 0.000 0.000 15.454
F 0.000 2.110 9.518
CELL_PARAMETERS angstrom
-2.110 2.110 11.423
2.110 -2.110 11.423
2.110 2.110 -11.423

2.
! CsNaZrF6, optimized geometry, DFT GGA-PBE; values from VASP
! E (eV for the cell shown): -102.56
! Volume (Å³/f.u.): 179
! SG: No. 74
&SYSTEM
  ibrav = 0, nat = 18, ntyp = 4
/
ATOMIC_SPECIES
Cs 132.91 Cs.upf
Na 22.99 Na.upf
Zr 91.22 Zr.upf
F 19.00 F.upf
ATOMIC_POSITIONS angstrom
Cs 0.000 2.057 1.257
Cs 3.971 2.057 4.214
Na 1.985 2.057 -2.735
Na 1.985 -2.057 2.735
Zr 3.971 0.000 0.000
Zr 0.000 0.000 5.471
F 3.971 -2.057 3.753
F 2.548 0.276 1.388
F 5.393 0.276 1.388
F 3.971 2.057 -0.476
F 2.548 4.391 -1.388
F 1.423 0.276 4.082
F 2.548 3.839 1.388
F 1.423 -0.276 6.859
F 0.000 2.057 5.946
F -1.423 3.839 4.082
F 1.423 3.839 4.082
F 0.000 6.172 1.717
CELL_PARAMETERS angstrom
-3.971 4.115 5.471
3.971 -4.115 5.471
3.971 4.115 -5.471

3.
! CsNbF2, optimized geometry, DFT GGA-PBE; values from VASP
! E (eV for the cell shown): -56.63
! Volume (Å³/f.u.): 78
! SG: No. 166
&SYSTEM
  ibrav = 0, nat = 12, ntyp = 3
/
ATOMIC_SPECIES
Cs 132.91 Cs.upf
Nb 92.91 Nb.upf
F 19.00 F.upf
ATOMIC_POSITIONS angstrom
Cs 0.000 0.000 0.000
Cs 0.000 1.848 17.578
Cs 1.600 0.924 8.789
Nb 0.000 0.000 13.183
Nb 0.000 1.848 4.394
Nb 1.600 0.924 21.972
F 0.000 0.000 2.858
F 0.000 0.000 23.509
F 0.000 1.848 14.720
F 0.000 1.848 20.435
F 1.600 0.924 5.931
F 1.600 0.924 11.647
CELL_PARAMETERS angstrom
3.201 0.000 0.000
-1.600 2.772 0.000
0.000 0.000 26.367

4.
! CsNb3F, optimized geometry, DFT GGA-PBE; values from VASP
! E (eV for the cell shown): -19.37
! Volume (Å³/f.u.): 131
! Offset from the most stable computed form (meV/atom): 1596
! SG: No. 221
&SYSTEM
  ibrav = 0, nat = 5, ntyp = 3
/
ATOMIC_SPECIES
Cs 132.91 Cs.upf
Nb 92.91 Nb.upf
F 19.00 F.upf
ATOMIC_POSITIONS angstrom
Cs 0.000 0.000 0.000
Nb 0.000 0.000 2.542
Nb 0.000 2.542 0.000
Nb 2.542 0.000 0.000
F 2.542 2.542 2.542
CELL_PARAMETERS angstrom
5.084 0.000 0.000
0.000 5.084 0.000
0.000 0.000 5.084

5.
! CsNb3F, optimized geometry, DFT GGA-PBE; values from VASP
! E (eV for the cell shown): -27.35
! Volume (Å³/f.u.): 100
! Offset from the most stable computed form (meV/atom): 0
! SG: No. 221
&SYSTEM
  ibrav = 0, nat = 5, ntyp = 3
/
ATOMIC_SPECIES
Cs 132.91 Cs.upf
Nb 92.91 Nb.upf
F 19.00 F.upf
ATOMIC_POSITIONS angstrom
Cs 0.000 0.000 0.000
Nb 0.000 2.317 2.317
Nb 2.317 0.000 2.317
Nb 2.317 2.317 0.000
F 2.317 2.317 2.317
CELL_PARAMETERS angstrom
4.634 0.000 0.000
0.000 4.634 0.000
0.000 0.000 4.634

6.
! CsNbF4, optimized geometry, DFT GGA-PBE; values from VASP
! E (eV for the cell shown): -69.97
! Volume (Å³/f.u.): 117
! SG: No. 12
&SYSTEM
  ibrav = 0, nat = 12, ntyp = 3
/
ATOMIC_SPECIES
Cs 132.91 Cs.upf
Nb 92.91 Nb.upf
F 19.00 F.upf
ATOMIC_POSITIONS angstrom
Cs 2.171 0.000 1.340
Cs 10.006 0.000 3.741
Nb 5.560 0.000 3.823
Nb 6.617 0.000 1.259
F 4.937 1.257 2.129
F 6.364 1.707 0.000
F 3.561 0.000 4.128
F 7.240 1.257 2.953
F 4.937 -1.257 2.129
F 8.617 0.000 0.954
F 6.364 -1.707 0.000
F 7.240 -1.257 2.953
CELL_PARAMETERS angstrom
6.364 -3.611 0.000
6.364 3.611 0.000
-0.551 0.000 5.082

7.
! Cs2Nb3F9, optimized geometry, DFT GGA-PBE; values from VASP
! E (eV for the cell shown): -175.19
! Volume (Å³/f.u.): 292
! SG: No. 12
&SYSTEM
  ibrav = 0, nat = 28, ntyp = 3
/
ATOMIC_SPECIES
Cs 132.91 Cs.upf
Nb 92.91 Nb.upf
F 19.00 F.upf
ATOMIC_POSITIONS angstrom
Cs 0.926 5.385 5.429
Cs 4.572 5.385 2.421
Cs 0.926 -5.385 5.429
Cs 4.572 -5.385 2.421
Nb 0.058 1.395 6.671
Nb 3.026 0.000 1.064
Nb 0.058 -1.395 6.671
Nb 5.441 1.395 1.179
Nb 2.473 0.000 6.786
Nb 5.441 -1.395 1.179
F -0.731 2.872 5.370
F -1.802 1.517 7.721
F -0.836 0.000 5.326
F 1.219 0.000 2.113
F 4.695 3.020 0.000
F -1.802 -1.517 7.721
F 1.803 1.531 5.463
F -0.731 -2.872 5.370
F 3.695 1.531 2.387
F 1.803 -1.531 5.463
F 6.229 2.872 2.480
F 3.695 -1.531 2.387
F 7.301 1.517 0.129
F 4.695 -3.020 0.000
F 4.280 0.000 5.738
F 6.335 0.000 2.524
F 7.301 -1.517 0.129
F 6.229 -2.872 2.480
CELL_PARAMETERS angstrom
4.695 -7.911 0.000
4.695 7.911 0.000
-3.891 0.000 7.850

8.
! Cs3NbF, optimized geometry, DFT GGA-PBE; values from VASP
! E (eV for the cell shown): -12.29
! Volume (Å³/f.u.): 282
! SG: No. 221
&SYSTEM
  ibrav = 0, nat = 5, ntyp = 3
/
ATOMIC_SPECIES
Cs 132.91 Cs.upf
Nb 92.91 Nb.upf
F 19.00 F.upf
ATOMIC_POSITIONS angstrom
Cs 0.000 0.000 3.278
Cs 0.000 3.278 0.000
Cs 3.278 0.000 0.000
Nb 0.000 0.000 0.000
F 3.278 3.278 3.278
CELL_PARAMETERS angstrom
6.556 0.000 0.000
0.000 6.556 0.000
0.000 0.000 6.556